# 1
## Co2CuBPb (GGA-PBE)

Data for a relaxed structure of Co2CuBPb.

Unit cell a=3.862 b=3.862 c=4.802 alpha=90.00 beta=90.00 gamma=90.00
Fractional positions:
Co  0.000  0.500  0.000
Co  0.500  0.000  0.000
Cu  0.000  0.000  0.500
B  0.500  0.500  0.000
Pb  0.500  0.500  0.500

Electronic total energy in eV/atom: -5.145

# 2
## CoCuB2Pt (GGA-PBE)

Data for a relaxed structure of CoCuB2Pt.

Unit cell a=3.985 b=3.985 c=4.933 alpha=90.00 beta=90.00 gamma=90.00
Fractional positions:
Co  0.000  0.000  0.000
Cu  0.500  0.500  0.000
B  0.000  0.500  0.500
B  0.500  0.000  0.500
Pt  0.000  0.000  0.500

Electronic total energy in eV/atom: -5.021

# 3
## ScCo2CuB (GGA-PBE)

Data for a relaxed structure of ScCo2CuB.

Unit cell a=3.899 b=3.899 c=3.940 alpha=90.00 beta=90.00 gamma=90.00
Fractional positions:
Sc  0.000  0.000  0.000
Co  0.000  0.500  0.500
Co  0.500  0.000  0.500
Cu  0.500  0.500  0.000
B  0.500  0.500  0.500

Electronic total energy in eV/atom: -6.533

# 4
## Sc2Co5CuB2 (GGA-PBE)

Data for a relaxed structure of Sc2Co5CuB2.

Unit cell a=8.702 b=8.702 c=2.960 alpha=90.00 beta=90.00 gamma=90.00
Fractional positions:
Sc  0.176  0.324  0.000
Sc  0.324  0.824  0.000
Sc  0.676  0.176  0.000
Sc  0.824  0.676  0.000
Co  0.000  0.500  0.500
Co  0.069  0.778  0.500
Co  0.222  0.069  0.500
Co  0.278  0.569  0.500
Co  0.431  0.278  0.500
Co  0.500  0.000  0.500
Co  0.569  0.722  0.500
Co  0.722  0.431  0.500
Co  0.778  0.931  0.500
Co  0.931  0.222  0.500
Cu  0.000  0.000  0.000
Cu  0.500  0.500  0.000
B  0.122  0.622  0.000
B  0.378  0.122  0.000
B  0.622  0.878  0.000
B  0.878  0.378  0.000

Electronic total energy in eV/atom: -6.961

# 5
## CoCuBTe2 (GGA-PBE)

Data for a relaxed structure of CoCuBTe2.

Unit cell a=5.087 b=5.087 c=4.487 alpha=90.00 beta=90.00 gamma=90.00
Fractional positions:
Co  0.000  0.000  0.000
Cu  0.000  0.000  0.500
B  0.500  0.500  0.000
Te  0.000  0.500  0.500
Te  0.500  0.000  0.500

Electronic total energy in eV/atom: -3.328
Energy relative to the elements, uncorrected in meV per atom: 1505

# 6
## YCo2CuB (GGA-PBE)

Data for a relaxed structure of YCo2CuB.

Unit cell a=4.005 b=4.005 c=4.056 alpha=90.00 beta=90.00 gamma=90.00
Fractional positions:
Y  0.000  0.000  0.000
Co  0.000  0.500  0.500
Co  0.500  0.000  0.500
Cu  0.500  0.500  0.000
B  0.500  0.500  0.500

Electronic total energy in eV/atom: -6.496

# 7
## DyCo3B2 (GGA-PBE)

Data for a relaxed structure of DyCo3B2.

Unit cell a=5.333 b=5.333 c=4.832 alpha=90.00 beta=90.00 gamma=79.01
Fractional positions:
Dy  0.152  0.848  0.750
Dy  0.848  0.152  0.250
Co  0.002  0.582  0.250
Co  0.418  0.998  0.250
Co  0.458  0.542  0.250
Co  0.542  0.458  0.750
Co  0.582  0.002  0.750
Co  0.998  0.418  0.750
B  0.292  0.292  0.000
B  0.292  0.292  0.500
B  0.708  0.708  0.000
B  0.708  0.708  0.500

Electronic total energy in eV/atom: -6.783

# 8
## Dy3Co11B4 (GGA-PBE)

Data for a relaxed structure of Dy3Co11B4.

Unit cell a=5.022 b=5.022 c=9.763 alpha=90.00 beta=90.00 gamma=120.00
Fractional positions:
Dy  0.000  0.000  0.000
Dy  0.000  0.000  0.342
Dy  0.000  0.000  0.658
Co  0.000  0.500  0.202
Co  0.000  0.500  0.500
Co  0.000  0.500  0.798
Co  0.333  0.667  0.000
Co  0.500  0.000  0.202
Co  0.500  0.000  0.500
Co  0.500  0.000  0.798
Co  0.500  0.500  0.202
Co  0.500  0.500  0.500
Co  0.500  0.500  0.798
Co  0.667  0.333  0.000
B  0.333  0.667  0.350
B  0.333  0.667  0.650
B  0.667  0.333  0.350
B  0.667  0.333  0.650

Electronic total energy in eV/atom: -6.966

| no. | magnetic moment (μB per formula unit) |
| --- | --- |
| 1 | 0.675 |
| 2 | 1.958 |
| 3 | 0.000 |
| 4 | 0.541 |
| 5 | 2.077 |
| 6 | 0.000 |
| 7 | 0.000 |
| 8 | 7.754 |